# 1
Compound: PrBeNiP2
Source: Alexandria
Functional: PBE
Structure: optimized geometry

As for the space group: No. 119. The calculation puts the density of states at the Fermi level at 0.9 states/eV/cell. The formation energy comes out at -19.259 kcal/mol of atoms. The value obtained for the total magnetic moment is 0.0 Bohr magnetons per cell. As for the final energy: -5.857 eV/atom. For the mass density, the calculation gives 5.745 g/cm3.

Unit cell a=6.168 b=6.168 c=6.168 alpha=144.64 beta=144.64 gamma=50.88
Fractional coordinates of all 5 atoms:
Pr  0.000  0.000  0.000
Be  0.250  0.750  0.500
Ni  0.750  0.250  0.500
P  0.363  0.363  0.000
P  0.637  0.637  0.000


# 2
Compound: NaGePCO7
Source: Alexandria
Functional: PBE
Structure: optimized geometry

As for the space group: No. 4. The calculation puts the density of states at the Fermi level at 0.0 states/eV/cell. For the formation energy (no corrections), the calculation gives -1.778 eV/atom. The value obtained for the total magnetic moment is 0.1 Bohr magnetons per cell. As for the final energy: -6.803 eV/atom. For the mass density, the calculation gives 2.808 g/cm3.

Unit cell a=5.072 b=6.257 c=9.343 alpha=90.00 beta=91.80 gamma=90.00
Fractional coordinates of all 22 atoms:
Na  0.164  0.000  0.177
Na  0.836  0.500  0.823
Ge  0.241  0.808  0.652
Ge  0.759  0.308  0.348
P  0.279  0.302  0.563
P  0.721  0.802  0.437
C  0.361  0.804  0.900
C  0.639  0.304  0.100
O  0.104  0.299  0.425
O  0.113  0.804  0.846
O  0.220  0.496  0.659
O  0.231  0.109  0.660
O  0.424  0.813  0.028
O  0.426  0.808  0.481
O  0.470  0.292  0.208
O  0.530  0.792  0.792
O  0.574  0.308  0.519
O  0.576  0.313  0.972
O  0.769  0.609  0.340
O  0.780  0.996  0.341
O  0.887  0.304  0.154
O  0.896  0.799  0.575


# 3
Compound: KZnBr2F
Source: Alexandria
Functional: PBE
Structure: optimized geometry

As for the space group: No. 123. For the formation energy (no corrections), the calculation gives -1.568 eV/atom. The value obtained for the total magnetic moment is 0.0 Bohr magnetons per cell. As for the final energy: -3.086 eV/atom. For the mass density, the calculation gives 3.980 g/cm3.

Unit cell a=5.399 b=5.399 c=4.056 alpha=90.00 beta=90.00 gamma=90.00
Fractional coordinates of all 5 atoms:
K  0.000  0.000  0.000
Zn  0.500  0.500  0.500
Br  0.000  0.500  0.500
Br  0.500  0.000  0.500
F  0.500  0.500  0.000


# 4
Compound: PaBeP
Source: Alexandria
Functional: PBE
Structure: optimized geometry

As for the space group: No. 63. The calculation puts the density of states at the Fermi level at 7.7 states/eV/cell. The formation energy comes out at -6.559 kcal/mol of atoms. The value obtained for the total magnetic moment is 0.0 Bohr magnetons per cell. As for the final energy: -6.495 eV/atom. For the mass density, the calculation gives 8.850 g/cm3.

Unit cell a=8.530 b=8.530 c=3.472 alpha=90.00 beta=90.00 gamma=156.26
Fractional coordinates of all 6 atoms:
Pa  0.086  0.914  0.750
Pa  0.914  0.086  0.250
Be  0.250  0.750  0.250
Be  0.750  0.250  0.750
P  0.334  0.666  0.750
P  0.666  0.334  0.250